Entry 1:
Entry from the Alexandria database: a geometry-optimized Sm2GaSiNi6 structure (PBE-GGA).

Summary:
Raw formation energy = -387 meV/atom
Crystal system = triclinic

Cell and atoms, written as CIF:
```
data_Sm2GaSiNi6
_chemical_formula_sum 'Sm2 Ga1 Si1 Ni6'
_cell_length_a 5.9566
_cell_length_b 6.1139
_cell_length_c 6.1293
_cell_angle_alpha 64.60
_cell_angle_beta 61.00
_cell_angle_gamma 60.91
_space_group_name_H-M_alt 'P 1'
_space_group_IT_number 1
_space_group_name_Hall 'P 1'
loop_
_atom_site_label
_atom_site_type_symbol
_atom_site_fract_x
_atom_site_fract_y
_atom_site_fract_z
Sm1 Sm 0.2159 0.2160 0.3514
Sm2 Sm 0.7841 0.7840 0.6486
Ga1 Ga 0.5000 0.5000 0.5000
Si1 Si 0.0000 0.0000 0.0000
Ni1 Ni 0.2433 0.6214 0.8929
Ni2 Ni 0.2564 0.2349 0.8489
Ni3 Ni 0.3402 0.7655 0.1514
Ni4 Ni 0.6598 0.2345 0.8486
Ni5 Ni 0.7436 0.7651 0.1511
Ni6 Ni 0.7567 0.3786 0.1071
```


Entry 2:
Entry from the Alexandria database: a geometry-optimized GaSiNi2Sn structure (PBE-GGA).

Summary:
Raw formation energy = 1099 meV/atom
Crystal system = tetragonal

Cell and atoms, written as CIF:
```
data_GaSiNi2Sn
_chemical_formula_sum 'Ga1 Si1 Ni2 Sn1'
_cell_length_a 4.7010
_cell_length_b 4.7010
_cell_length_c 5.1032
_cell_angle_alpha 90.00
_cell_angle_beta 90.00
_cell_angle_gamma 90.00
_space_group_name_H-M_alt 'P 1'
_space_group_IT_number 1
_space_group_name_Hall 'P 1'
loop_
_atom_site_label
_atom_site_type_symbol
_atom_site_fract_x
_atom_site_fract_y
_atom_site_fract_z
Ga1 Ga 0.0000 0.0000 0.0000
Si1 Si 0.5000 0.5000 0.0000
Ni1 Ni 0.0000 0.5000 0.5000
Ni2 Ni 0.5000 0.0000 0.5000
Sn1 Sn 0.0000 0.0000 0.5000
```


Entry 3:
Entry from the Alexandria database: a geometry-optimized Tb2GaSi3Ni4 structure (PBE-GGA).

Summary:
Raw formation energy = -796 meV/atom
Crystal system = tetragonal

Cell and atoms, written as CIF:
```
data_Tb2GaSi3Ni4
_chemical_formula_sum 'Tb2 Ga1 Si3 Ni4'
_cell_length_a 3.9980
_cell_length_b 3.9980
_cell_length_c 9.5973
_cell_angle_alpha 90.00
_cell_angle_beta 90.00
_cell_angle_gamma 90.00
_space_group_name_H-M_alt 'P 1'
_space_group_IT_number 1
_space_group_name_Hall 'P 1'
loop_
_atom_site_label
_atom_site_type_symbol
_atom_site_fract_x
_atom_site_fract_y
_atom_site_fract_z
Tb1 Tb 0.0000 0.5000 0.2478
Tb2 Tb 0.5000 0.0000 0.7522
Ga1 Ga 0.0000 0.0000 0.5000
Si1 Si 0.0000 0.5000 0.8748
Si2 Si 0.5000 0.0000 0.1252
Si3 Si 0.5000 0.5000 0.5000
Ni1 Ni 0.0000 0.0000 0.0000
Ni2 Ni 0.0000 0.5000 0.6359
Ni3 Ni 0.5000 0.0000 0.3641
Ni4 Ni 0.5000 0.5000 0.0000
```


Entry 4:
Entry from the Alexandria database: a geometry-optimized Tb2GaSi2Ni5 structure (PBE-GGA).

Summary:
Raw formation energy = -472 meV/atom
Crystal system = tetragonal

Cell and atoms, written as CIF:
```
data_Tb2GaSi2Ni5
_chemical_formula_sum 'Tb4 Ga2 Si4 Ni10'
_cell_length_a 9.8840
_cell_length_b 9.8840
_cell_length_c 3.0294
_cell_angle_alpha 90.00
_cell_angle_beta 90.00
_cell_angle_gamma 90.00
_space_group_name_H-M_alt 'P 1'
_space_group_IT_number 1
_space_group_name_Hall 'P 1'
loop_
_atom_site_label
_atom_site_type_symbol
_atom_site_fract_x
_atom_site_fract_y
_atom_site_fract_z
Tb1 Tb 0.1762 0.3238 0.0000
Tb2 Tb 0.3238 0.8238 0.0000
Tb3 Tb 0.6762 0.1762 0.0000
Tb4 Tb 0.8238 0.6762 0.0000
Ga1 Ga 0.0000 0.0000 0.0000
Ga2 Ga 0.5000 0.5000 0.0000
Si1 Si 0.1247 0.6247 0.0000
Si2 Si 0.3753 0.1247 0.0000
Si3 Si 0.6247 0.8753 0.0000
Si4 Si 0.8753 0.3753 0.0000
Ni1 Ni 0.0000 0.5000 0.5000
Ni2 Ni 0.0564 0.7958 0.5000
Ni3 Ni 0.2042 0.0564 0.5000
Ni4 Ni 0.2958 0.5564 0.5000
Ni5 Ni 0.4436 0.2958 0.5000
Ni6 Ni 0.5000 0.0000 0.5000
Ni7 Ni 0.5564 0.7042 0.5000
Ni8 Ni 0.7042 0.4436 0.5000
Ni9 Ni 0.7958 0.9436 0.5000
Ni10 Ni 0.9436 0.2042 0.5000
```


Entry 5:
Entry from the Alexandria database: a geometry-optimized TbGaSi2Ni5 structure (PBE-GGA).

Summary:
Raw formation energy = -303 meV/atom
Crystal system = tetragonal

Cell and atoms, written as CIF:
```
data_TbGaSi2Ni5
_chemical_formula_sum 'Tb1 Ga1 Si2 Ni5'
_cell_length_a 3.7392
_cell_length_b 3.7392
_cell_length_c 10.0241
_cell_angle_alpha 90.00
_cell_angle_beta 90.00
_cell_angle_gamma 90.00
_space_group_name_H-M_alt 'P 1'
_space_group_IT_number 1
_space_group_name_Hall 'P 1'
loop_
_atom_site_label
_atom_site_type_symbol
_atom_site_fract_x
_atom_site_fract_y
_atom_site_fract_z
Tb1 Tb 0.0000 0.0000 0.0000
Ga1 Ga 0.0000 0.0000 0.5000
Si1 Si 0.5000 0.5000 0.2189
Si2 Si 0.5000 0.5000 0.7811
Ni1 Ni 0.0000 0.5000 0.3459
Ni2 Ni 0.0000 0.5000 0.6541
Ni3 Ni 0.5000 0.0000 0.3459
Ni4 Ni 0.5000 0.0000 0.6541
Ni5 Ni 0.5000 0.5000 0.0000
```


Entry 6:
Entry from the Alexandria database: a geometry-optimized Tb2GaSi4Ni3 structure (PBE-GGA).

Summary:
Raw formation energy = -769 meV/atom
Crystal system = tetragonal

Cell and atoms, written as CIF:
```
data_Tb2GaSi4Ni3
_chemical_formula_sum 'Tb2 Ga1 Si4 Ni3'
_cell_length_a 3.9679
_cell_length_b 3.9679
_cell_length_c 9.8653
_cell_angle_alpha 90.00
_cell_angle_beta 90.00
_cell_angle_gamma 90.00
_space_group_name_H-M_alt 'P 1'
_space_group_IT_number 1
_space_group_name_Hall 'P 1'
loop_
_atom_site_label
_atom_site_type_symbol
_atom_site_fract_x
_atom_site_fract_y
_atom_site_fract_z
Tb1 Tb 0.0000 0.5000 0.2408
Tb2 Tb 0.5000 0.0000 0.7592
Ga1 Ga 0.0000 0.0000 0.5000
Si1 Si 0.0000 0.0000 0.0000
Si2 Si 0.0000 0.5000 0.6481
Si3 Si 0.5000 0.0000 0.3519
Si4 Si 0.5000 0.5000 0.0000
Ni1 Ni 0.0000 0.5000 0.8789
Ni2 Ni 0.5000 0.0000 0.1211
Ni3 Ni 0.5000 0.5000 0.5000
```


Entry 7:
Entry from the Alexandria database: a geometry-optimized Tb3Ga2SiNi9 structure (PBE-GGA).

Summary:
Raw formation energy = -196 meV/atom
Crystal system = trigonal

Cell and atoms, written as CIF:
```
data_Tb3Ga2SiNi9
_chemical_formula_sum 'Tb3 Ga2 Si1 Ni9'
_cell_length_a 6.0252
_cell_length_b 6.0252
_cell_length_c 8.0908
_cell_angle_alpha 90.00
_cell_angle_beta 90.00
_cell_angle_gamma 120.00
_space_group_name_H-M_alt 'P 1'
_space_group_IT_number 1
_space_group_name_Hall 'P 1'
loop_
_atom_site_label
_atom_site_type_symbol
_atom_site_fract_x
_atom_site_fract_y
_atom_site_fract_z
Tb1 Tb 0.0000 0.0000 0.0000
Tb2 Tb 0.3333 0.6667 0.6814
Tb3 Tb 0.6667 0.3333 0.3186
Ga1 Ga 0.3333 0.6667 0.1941
Ga2 Ga 0.6667 0.3333 0.8059
Si1 Si 0.0000 0.0000 0.5000
Ni1 Ni 0.0000 0.5000 0.0000
Ni2 Ni 0.1336 0.2673 0.2877
Ni3 Ni 0.1336 0.8664 0.2877
Ni4 Ni 0.2673 0.1336 0.7123
Ni5 Ni 0.5000 0.0000 0.0000
Ni6 Ni 0.5000 0.5000 0.0000
Ni7 Ni 0.7327 0.8664 0.2877
Ni8 Ni 0.8664 0.1336 0.7123
Ni9 Ni 0.8664 0.7327 0.7123
```


Entry 8:
Entry from the Alexandria database: a geometry-optimized Th2GaSiNi6 structure (PBE-GGA).

Summary:
Raw formation energy = -499 meV/atom
Crystal system = monoclinic

Cell and atoms, written as CIF:
```
data_Th2GaSiNi6
_chemical_formula_sum 'Th2 Ga1 Si1 Ni6'
_cell_length_a 6.0361
_cell_length_b 6.0361
_cell_length_c 7.9524
_cell_angle_alpha 127.14
_cell_angle_beta 127.14
_cell_angle_gamma 48.81
_space_group_name_H-M_alt 'P 1'
_space_group_IT_number 1
_space_group_name_Hall 'P 1'
loop_
_atom_site_label
_atom_site_type_symbol
_atom_site_fract_x
_atom_site_fract_y
_atom_site_fract_z
Th1 Th 0.2454 0.2454 0.2843
Th2 Th 0.7546 0.7546 0.7157
Ga1 Ga 0.0000 0.0000 0.5000
Si1 Si 0.5000 0.5000 0.0000
Ni1 Ni 0.2445 0.7390 0.2363
Ni2 Ni 0.2496 0.2496 0.9098
Ni3 Ni 0.2610 0.7555 0.7637
Ni4 Ni 0.7390 0.2445 0.2363
Ni5 Ni 0.7504 0.7504 0.0902
Ni6 Ni 0.7555 0.2610 0.7637
```


Entry 9:
Entry from the Alexandria database: a geometry-optimized TiGa2SiNi structure (PBE-GGA).

Summary:
Raw formation energy = 714 meV/atom
Crystal system = tetragonal

Cell and atoms, written as CIF:
```
data_TiGa2SiNi
_chemical_formula_sum 'Ti1 Ga2 Si1 Ni1'
_cell_length_a 4.5847
_cell_length_b 4.5847
_cell_length_c 4.6713
_cell_angle_alpha 90.00
_cell_angle_beta 90.00
_cell_angle_gamma 90.00
_space_group_name_H-M_alt 'P 1'
_space_group_IT_number 1
_space_group_name_Hall 'P 1'
loop_
_atom_site_label
_atom_site_type_symbol
_atom_site_fract_x
_atom_site_fract_y
_atom_site_fract_z
Ti1 Ti 0.0000 0.0000 0.0000
Ga1 Ga 0.0000 0.5000 0.5000
Ga2 Ga 0.5000 0.0000 0.5000
Si1 Si 0.0000 0.0000 0.5000
Ni1 Ni 0.5000 0.5000 0.0000
```


Entry 10:
Entry from the Alexandria database: a geometry-optimized Tm2Ga2SiNi5 structure (PBE-GGA).

Summary:
Raw formation energy = -423 meV/atom
Crystal system = tetragonal

Cell and atoms, written as CIF:
```
data_Tm2Ga2SiNi5
_chemical_formula_sum 'Tm4 Ga4 Si2 Ni10'
_cell_length_a 9.8244
_cell_length_b 9.8244
_cell_length_c 3.0555
_cell_angle_alpha 90.00
_cell_angle_beta 90.00
_cell_angle_gamma 90.00
_space_group_name_H-M_alt 'P 1'
_space_group_IT_number 1
_space_group_name_Hall 'P 1'
loop_
_atom_site_label
_atom_site_type_symbol
_atom_site_fract_x
_atom_site_fract_y
_atom_site_fract_z
Tm1 Tm 0.1728 0.3272 0.0000
Tm2 Tm 0.3272 0.8272 0.0000
Tm3 Tm 0.6728 0.1728 0.0000
Tm4 Tm 0.8272 0.6728 0.0000
Ga1 Ga 0.1298 0.6298 0.0000
Ga2 Ga 0.3702 0.1298 0.0000
Ga3 Ga 0.6298 0.8702 0.0000
Ga4 Ga 0.8702 0.3702 0.0000
Si1 Si 0.0000 0.0000 0.0000
Si2 Si 0.5000 0.5000 0.0000
Ni1 Ni 0.0000 0.5000 0.5000
Ni2 Ni 0.0503 0.8153 0.5000
Ni3 Ni 0.1847 0.0503 0.5000
Ni4 Ni 0.3153 0.5503 0.5000
Ni5 Ni 0.4497 0.3153 0.5000
Ni6 Ni 0.5000 0.0000 0.5000
Ni7 Ni 0.5503 0.6847 0.5000
Ni8 Ni 0.6847 0.4497 0.5000
Ni9 Ni 0.8153 0.9497 0.5000
Ni10 Ni 0.9497 0.1847 0.5000
```


Entry 11:
Entry from the Alexandria database: a geometry-optimized Tm2GaSiNi6 structure (PBE-GGA).

Summary:
Raw formation energy = -457 meV/atom
Crystal system = monoclinic

Cell and atoms, written as CIF:
```
data_Tm2GaSiNi6
_chemical_formula_sum 'Tm2 Ga1 Si1 Ni6'
_cell_length_a 6.0375
_cell_length_b 6.0375
_cell_length_c 7.9117
_cell_angle_alpha 129.38
_cell_angle_beta 129.38
_cell_angle_gamma 48.00
_space_group_name_H-M_alt 'P 1'
_space_group_IT_number 1
_space_group_name_Hall 'P 1'
loop_
_atom_site_label
_atom_site_type_symbol
_atom_site_fract_x
_atom_site_fract_y
_atom_site_fract_z
Tm1 Tm 0.0336 0.0336 0.2832
Tm2 Tm 0.9664 0.9664 0.7168
Ga1 Ga 0.5000 0.5000 0.5000
Si1 Si 0.5000 0.5000 0.0000
Ni1 Ni 0.0074 0.5081 0.7586
Ni2 Ni 0.3328 0.3328 0.0823
Ni3 Ni 0.4919 0.9926 0.2414
Ni4 Ni 0.5081 0.0074 0.7586
Ni5 Ni 0.6672 0.6672 0.9177
Ni6 Ni 0.9926 0.4919 0.2414
```


Entry 12:
Entry from the Alexandria database: a geometry-optimized Tm2GaSi2Ni5 structure (PBE-GGA).

Summary:
Raw formation energy = -511 meV/atom
Crystal system = tetragonal

Cell and atoms, written as CIF:
```
data_Tm2GaSi2Ni5
_chemical_formula_sum 'Tm4 Ga2 Si4 Ni10'
_cell_length_a 9.5078
_cell_length_b 9.5078
_cell_length_c 3.2474
_cell_angle_alpha 90.00
_cell_angle_beta 90.00
_cell_angle_gamma 90.00
_space_group_name_H-M_alt 'P 1'
_space_group_IT_number 1
_space_group_name_Hall 'P 1'
loop_
_atom_site_label
_atom_site_type_symbol
_atom_site_fract_x
_atom_site_fract_y
_atom_site_fract_z
Tm1 Tm 0.1780 0.3220 0.0000
Tm2 Tm 0.3220 0.8220 0.0000
Tm3 Tm 0.6780 0.1780 0.0000
Tm4 Tm 0.8220 0.6780 0.0000
Ga1 Ga 0.0000 0.0000 0.0000
Ga2 Ga 0.5000 0.5000 0.0000
Si1 Si 0.1200 0.6200 0.0000
Si2 Si 0.3800 0.1200 0.0000
Si3 Si 0.6200 0.8800 0.0000
Si4 Si 0.8800 0.3800 0.0000
Ni1 Ni 0.0000 0.5000 0.5000
Ni2 Ni 0.0576 0.7894 0.5000
Ni3 Ni 0.2106 0.0576 0.5000
Ni4 Ni 0.2894 0.5576 0.5000
Ni5 Ni 0.4424 0.2894 0.5000
Ni6 Ni 0.5000 0.0000 0.5000
Ni7 Ni 0.5576 0.7106 0.5000
Ni8 Ni 0.7106 0.4424 0.5000
Ni9 Ni 0.7894 0.9424 0.5000
Ni10 Ni 0.9424 0.2106 0.5000
```


Please write out number 8 again, unchanged.
Entry from the Alexandria database: a geometry-optimized Th2GaSiNi6 structure (PBE-GGA).

Summary:
Raw formation energy = -499 meV/atom
Crystal system = monoclinic

Cell and atoms, written as CIF:
```
data_Th2GaSiNi6
_chemical_formula_sum 'Th2 Ga1 Si1 Ni6'
_cell_length_a 6.0361
_cell_length_b 6.0361
_cell_length_c 7.9524
_cell_angle_alpha 127.14
_cell_angle_beta 127.14
_cell_angle_gamma 48.81
_space_group_name_H-M_alt 'P 1'
_space_group_IT_number 1
_space_group_name_Hall 'P 1'
loop_
_atom_site_label
_atom_site_type_symbol
_atom_site_fract_x
_atom_site_fract_y
_atom_site_fract_z
Th1 Th 0.2454 0.2454 0.2843
Th2 Th 0.7546 0.7546 0.7157
Ga1 Ga 0.0000 0.0000 0.5000
Si1 Si 0.5000 0.5000 0.0000
Ni1 Ni 0.2445 0.7390 0.2363
Ni2 Ni 0.2496 0.2496 0.9098
Ni3 Ni 0.2610 0.7555 0.7637
Ni4 Ni 0.7390 0.2445 0.2363
Ni5 Ni 0.7504 0.7504 0.0902
Ni6 Ni 0.7555 0.2610 0.7637
```


What did the twelfth record say?
Entry from the Alexandria database: a geometry-optimized Tm2GaSi2Ni5 structure (PBE-GGA).

Summary:
Raw formation energy = -511 meV/atom
Crystal system = tetragonal

Cell and atoms, written as CIF:
```
data_Tm2GaSi2Ni5
_chemical_formula_sum 'Tm4 Ga2 Si4 Ni10'
_cell_length_a 9.5078
_cell_length_b 9.5078
_cell_length_c 3.2474
_cell_angle_alpha 90.00
_cell_angle_beta 90.00
_cell_angle_gamma 90.00
_space_group_name_H-M_alt 'P 1'
_space_group_IT_number 1
_space_group_name_Hall 'P 1'
loop_
_atom_site_label
_atom_site_type_symbol
_atom_site_fract_x
_atom_site_fract_y
_atom_site_fract_z
Tm1 Tm 0.1780 0.3220 0.0000
Tm2 Tm 0.3220 0.8220 0.0000
Tm3 Tm 0.6780 0.1780 0.0000
Tm4 Tm 0.8220 0.6780 0.0000
Ga1 Ga 0.0000 0.0000 0.0000
Ga2 Ga 0.5000 0.5000 0.0000
Si1 Si 0.1200 0.6200 0.0000
Si2 Si 0.3800 0.1200 0.0000
Si3 Si 0.6200 0.8800 0.0000
Si4 Si 0.8800 0.3800 0.0000
Ni1 Ni 0.0000 0.5000 0.5000
Ni2 Ni 0.0576 0.7894 0.5000
Ni3 Ni 0.2106 0.0576 0.5000
Ni4 Ni 0.2894 0.5576 0.5000
Ni5 Ni 0.4424 0.2894 0.5000
Ni6 Ni 0.5000 0.0000 0.5000
Ni7 Ni 0.5576 0.7106 0.5000
Ni8 Ni 0.7106 0.4424 0.5000
Ni9 Ni 0.7894 0.9424 0.5000
Ni10 Ni 0.9424 0.2106 0.5000
```


Which value of raw formation energy does entry 8 give? -499 meV/atom